Record 1
Entry from Alexandria: a crystal of InHgIr2 relaxed with PBEsol (SCAN).

Results
Energy above the lowest structure with this stoichiometry (eV/f.u.): 0.000

a b c (Å): 2.8792 2.8792 8.4236
angles (deg): 90.00 90.00 90.00
Last column: nearest neighbours and their distance in Å.
Space group P4mm (No. 99)
One atom of each set of equivalent atoms:
In: 0.0000 0.0000 0.0000  4 Ir 2.86, 4 In 2.88
Hg: 0.5000 0.5000 0.6917  4 Hg 2.88, 4 Ir 2.92
Ir: 0.0000 0.0000 0.4430  8 Ir 2.66-2.88, 4 Hg 2.92
Ir: 0.5000 0.5000 0.2390  8 Ir 2.66-2.88, 4 In 2.86

=====

Record 2
Entry from Alexandria: a crystal of InHg2Ir relaxed with PBEsol (SCAN).

Results
Total energy (eV per atom): -59.872

a b c (Å): 3.0625 5.2245 4.8082
angles (deg): 90.00 91.55 90.00
Last column: nearest neighbours and their distance in Å.
Space group P2/m (No. 10)
One atom of each set of equivalent atoms:
In: 0.0000 0.0000 0.0000  4 Ir 2.82-2.89, 4 Hg 2.98, 2 In 3.06
Hg: 0.2558 0.5000 0.2548  6 Hg 2.76-3.06, 2 Ir 2.95, 2 In 2.98
Ir: 0.5000 0.0000 0.5000  4 In 2.82-2.89, 4 Hg 2.95, 2 Ir 3.06

=====

Record 3
Entry from Alexandria: a crystal of KInHg relaxed with PBEsol (SCAN).

Results
Energy above the lowest structure with this stoichiometry (eV/f.u.): 0.000

a b c (Å): 5.2729 5.2729 3.5091
angles (deg): 90.00 90.00 120.00
Last column: nearest neighbours and their distance in Å.
Space group P-6m2 (No. 187)
One atom of each set of equivalent atoms:
K: 0.0000 0.0000 0.0000  2 K 3.51, 6 Hg 3.51, 6 In 3.51
In: 0.6667 0.3333 0.5000  3 Hg 3.04
Hg: 0.3333 0.6667 0.5000  3 In 3.04

=====

Record 4
Entry from Alexandria: a crystal of K2InHg relaxed with PBEsol (SCAN).

Results
Energy above the lowest structure with this stoichiometry (eV/f.u.): 0.000

a b c (Å): 4.9953 4.9069 12.5611
angles (deg): 90.00 90.00 90.00
Last column: nearest neighbours and their distance in Å.
Space group Amm2 (No. 38)
One atom of each set of equivalent atoms:
K: 0.0000 0.0000 0.0000  3 Hg 3.57-3.69, 4 In 3.73
K: 0.5000 0.0000 0.3086  3 In 3.56-3.70, 4 Hg 3.73
In: 0.5000 0.0000 0.6028  2 Hg 2.82
Hg: 0.0000 0.0000 0.7064  2 In 2.82

=====

Record 5
Entry from Alexandria: a crystal of KInHg2 relaxed with PBEsol (SCAN).

Results
Total energy (eV per atom): -44.684

a b c (Å): 3.3368 4.9201 6.7437
angles (deg): 90.00 103.15 90.00
Last column: nearest neighbours and their distance in Å.
Space group Pm (No. 6)
One atom of each set of equivalent atoms:
K: 0.0000 0.0000 0.0000  7 Hg 3.33-3.68, 2 K 3.34, 4 In 3.64-3.70
In: 0.3313 0.5000 0.6729  6 Hg 3.13-3.37, 2 In 3.34
Hg: 0.6095 0.5000 0.2325  4 Hg 3.00-3.34, 1 In 3.31, 4 K 3.34-3.35
Hg: 0.7075 0.0000 0.4935  4 Hg 3.00-3.34, 4 In 3.13-3.27, 1 K 3.33

=====

Record 6
Entry from Alexandria: a crystal of K2InHg relaxed with PBEsol (SCAN).

Results
Energy above the lowest structure with this stoichiometry (eV/f.u.): 0.560

a b c (Å): 5.0165 5.0165 10.5561
angles (deg): 90.00 90.00 90.00
Last column: nearest neighbours and their distance in Å.
Space group I4/mmm (No. 139)
One atom of each set of equivalent atoms:
K: 0.0000 0.5000 0.2500  4 K 3.55, 4 Hg 3.64, 4 In 3.64
In: 0.0000 0.0000 0.0000  4 Hg 3.55, 8 K 3.64
Hg: 0.0000 0.0000 0.5000  4 In 3.55, 8 K 3.64